First-principles (GGA+U) data for an optimized crystal structure of Ni3RhO6, as listed in the Alexandria database.

energy = -5.223 eV/atom
SG = R-3 (148)
excess energy over the best structure of this formula in the dataset = 0 kJ/mol of formula units

Cell lengths 5.9727, 5.9727, 5.9727 Å; angles 91.00, 91.00, 91.00 degrees
Fractional coordinates of all 20 atoms:
Ni (0.0713, 0.2496, 0.5577)
Rh (0.0000, 0.0000, 0.0000)
O (0.0803, 0.9206, 0.6918)
O (0.3082, 0.9197, 0.0794)
O (0.0794, 0.3082, 0.9197)
O (0.5434, 0.3977, 0.1875)
Ni (0.2496, 0.5577, 0.0713)
Ni (0.7504, 0.4423, 0.9287)
O (0.6918, 0.0803, 0.9206)
Ni (0.9287, 0.7504, 0.4423)
O (0.4566, 0.6023, 0.8125)
O (0.1875, 0.5434, 0.3977)
O (0.6023, 0.8125, 0.4566)
O (0.9197, 0.0794, 0.3082)
Ni (0.5577, 0.0713, 0.2496)
O (0.9206, 0.6918, 0.0803)
O (0.8125, 0.4566, 0.6023)
O (0.3977, 0.1875, 0.5434)
Ni (0.4423, 0.9287, 0.7504)
Rh (0.5000, 0.5000, 0.5000)